Computed, not measured: crystalline Pm3NdBi4 at its relaxed geometry at the GGA-PBE level of DFT.

Lattice parameters (Å, degrees): 9.171 12.971 4.589 90.00 90.00 90.00
Space group Cmmm (No. 65)
Inequivalent atoms, fractional coordinates:
Pm 0.000 0.000 0.000
Pm 0.250 0.250 0.500
Nd 0.000 0.500 0.000
Bi 0.000 0.249 0.000
Bi 0.249 0.000 0.500

Computed properties:
formation energy from the elements: -0.943 eV per atom
energy above the most stable polymorph in this dataset: 0.006 eV per atom

---

Computed, not measured: crystalline ZrAlSe2 at its relaxed geometry at the GGA-PBE level of DFT.

Lattice parameters (Å, degrees): 4.204 3.593 5.576 90.00 106.07 90.00
Space group Pm (No. 6)
Inequivalent atoms, fractional coordinates:
Zr 0.000 0.000 0.000
Al 0.636 0.500 0.602
Se 0.185 0.000 0.562
Se 0.542 0.500 0.142

Computed properties:
raw formation energy: -0.83 eV per atom

---

Computed, not measured: crystalline Er4Ni2Sb at its relaxed geometry at the GGA-PBE level of DFT.

Lattice parameters (Å, degrees): 12.565 12.642 8.512 90.00 90.00 90.00
Space group Fdd2 (No. 43)
Inequivalent atoms, fractional coordinates:
Er 0.057 0.117 0.000
Er 0.118 0.444 0.838
Ni 0.079 0.171 0.294
Sb 0.000 0.000 0.669

Computed properties:
raw formation energy: -0.46 eV per atom

---

Computed, not measured: crystalline ZrBeIn4 at its relaxed geometry at the GGA-PBE level of DFT.

Lattice parameters (Å, degrees): 8.261 8.261 8.261 90.00 90.00 90.00
Space group F-43m (No. 216)
Inequivalent atoms, fractional coordinates:
Zr 0.000 0.000 0.000
Be 0.250 0.250 0.750
In 0.125 0.125 0.375

Computed properties:
formation energy from the elements: 0.541 eV per atom

---

What did the third record say?
Computed, not measured: crystalline Er4Ni2Sb at its relaxed geometry at the GGA-PBE level of DFT.

Lattice parameters (Å, degrees): 12.565 12.642 8.512 90.00 90.00 90.00
Space group Fdd2 (No. 43)
Inequivalent atoms, fractional coordinates:
Er 0.057 0.117 0.000
Er 0.118 0.444 0.838
Ni 0.079 0.171 0.294
Sb 0.000 0.000 0.669

Computed properties:
raw formation energy: -0.46 eV per atom